8
Lattice="6.794 0.000 0.000 0.000 3.842 0.000 -2.235 0.000 6.994" Properties=species:S:1:pos:R:3 comment="NbCuTe2 | Alexandria via LeMat-Bulk | PBE-GGA | relaxed" spacegroup="P2_1/m, No. 11" volume_a3_per_atom=22.82 e_form_raw_ev_per_fu=-1.3 density_g_cm3=7.5 pbc="T T T"
Nb 0.082 0.960 3.455
Nb 4.478 2.881 3.539
Cu 0.649 0.960 6.347
Cu 3.910 2.881 0.646
Te -0.415 2.881 1.485
Te 1.790 2.881 4.937
Te 2.770 0.960 2.057
Te 4.974 0.960 5.509